Compound: TeRuN2Cl
Source: the Alexandria database
Functional: PBE
Structure: optimized geometry

Output
Its energy above the most stable polymorph in this dataset is 1.6388 eV per atom. The calculation puts the energy relative to the elements, uncorrected at 12.0 eV per formula unit.

abc: 3.737 3.737 6.284
angles: 90.00 90.00 90.00
Space group P4/mmm (No. 123)
Inequivalent atoms, fractional coordinates:
Te (0.000, 0.000, 0.000) [1 per cell]
Ru (0.500, 0.500, 0.000) [1 per cell]
N (0.000, 0.500, 0.500) [2 per cell]
Cl (0.000, 0.000, 0.500) [1 per cell]

Compound: Dy2Tl4In
Source: the Alexandria database
Functional: PBE
Structure: optimized geometry

abc: 13.073 5.697 5.964
angles: 90.00 107.44 90.00
Space group C2/m (No. 12)
Inequivalent atoms, fractional coordinates:
Dy (0.147, 0.000, 0.086) [4 per cell]
Tl (0.000, 0.000, 0.500) [2 per cell]
Tl (0.000, 0.500, 0.000) [2 per cell]
Tl (0.248, 0.500, 0.345) [4 per cell]
In (0.000, 0.500, 0.500) [2 per cell]

Compound: LiBeN2F
Source: the Alexandria database
Functional: PBE
Structure: optimized geometry

Output
Its energy above the most stable polymorph in this dataset is 1.1847 eV per atom. The calculation puts the energy relative to the elements, uncorrected at 5.5 eV per formula unit.

abc: 3.536 3.536 3.647
angles: 90.00 90.00 90.00
Space group P4/mmm (No. 123)
Inequivalent atoms, fractional coordinates:
Li (0.000, 0.000, 0.000) [1 per cell]
Be (0.500, 0.500, 0.500) [1 per cell]
N (0.000, 0.500, 0.000) [2 per cell]
F (0.000, 0.000, 0.500) [1 per cell]

Compound: KTc2Cl
Source: the Alexandria database
Functional: PBE
Structure: optimized geometry

Output
Its energy above the most stable polymorph in this dataset is 0.0000 eV per atom. The calculation puts the energy relative to the elements, uncorrected at 0.2 eV per formula unit.

abc: 3.141 3.099 8.600
angles: 90.00 100.47 90.00
Space group Pm (No. 6)
Inequivalent atoms, fractional coordinates:
K (0.000, 0.000, 0.000) [1 per cell]
Tc (0.324, 0.500, 0.651) [1 per cell]
Tc (0.750, 0.000, 0.503) [1 per cell]
Cl (0.622, 0.500, 0.245) [1 per cell]

Compound: Tl2CrNi
Source: the Alexandria database
Functional: PBE
Structure: optimized geometry

Output
Its energy above the most stable polymorph in this dataset is 0.0510 eV per atom.

abc: 3.165 4.435 11.475
angles: 90.00 90.00 90.00
Space group Imm2 (No. 44)
Inequivalent atoms, fractional coordinates:
Tl (0.000, 0.000, 0.000) [2 per cell]
Tl (0.000, 0.500, 0.214) [2 per cell]
Cr (0.000, 0.000, 0.396) [2 per cell]
Ni (0.000, 0.500, 0.717) [2 per cell]

Compound: NaAg2Mo
Source: the Alexandria database
Functional: PBE
Structure: optimized geometry

Output
Its energy above the most stable polymorph in this dataset is 0.2435 eV per atom.

abc: 7.665 7.665 5.847
angles: 90.00 90.00 90.00
Space group I-42d (No. 122)
Inequivalent atoms, fractional coordinates:
Na (0.000, 0.000, 0.000) [4 per cell]
Ag (0.245, 0.250, 0.625) [8 per cell]
Mo (0.000, 0.000, 0.500) [4 per cell]

no.,VASP energy (eV per atom)
1,-3.783
2,-3.040
3,-3.724
4,-5.868
5,-4.563
6,-3.467